No. 1
Below is crystalline CsK5Rb2Na at its relaxed geometry, with properties calculated at the GGA-PBE level.

Values from the calculation:
DOS(E_F): 0.77 states/eV per atom
Calculated formation energy: 0.029 eV per atom
Size of the total moment: 0.00 μB/f.u.

Cell: 4.6352 25.0958 23.7912 Å, 90.00 90.00 90.00°
Last column: nearest neighbours and their distance in Å.
Space group Cmc2_1 (No. 36)
Unique sites:
Cs1 0.0000 0.0317 0.0000 (multiplicity 4)  5 K 4.61-4.87, 2 Cs 4.64, 2 Na 4.65
K1 0.0000 0.0652 0.8093 (multiplicity 4)  6 K 4.45-4.73, 1 Cs 4.61
K2 0.0000 0.0873 0.1924 (multiplicity 4)  2 Na 4.18, 4 K 4.55-4.64, 1 Rb 4.56
K3 0.0000 0.1722 0.5370 (multiplicity 4)  1 Na 3.98
K4 0.0000 0.2082 0.9230 (multiplicity 4)  2 Na 4.45, 5 K 4.49-4.66, 1 Rb 4.75, 1 Cs 4.79
K5 0.0000 0.4368 0.1495 (multiplicity 4)  8 K 4.45-4.64, 1 Rb 4.65, 2 Cs 4.87
Rb1 0.0000 0.2661 0.2258 (multiplicity 4)  2 K 4.56-4.65, 2 Rb 4.64, 2 Na 4.79
Rb2 0.0000 0.3896 0.8653 (multiplicity 4)  2 Rb 4.64, 7 K 4.75-5.16
Na1 0.0000 0.3260 0.5785 (multiplicity 4)  5 K 3.98-4.45

***

No. 2
Below is crystalline Er2AgPt at its relaxed geometry, with properties calculated at the GGA-PBE level.

Values from the calculation:
DOS(E_F): 0.66 states/eV per atom
Calculated formation energy: -0.818 eV per atom
Size of the total moment: 0.00 μB/f.u.

Cell: 3.5287 3.5287 7.0918 Å, 90.00 90.00 90.00°
Last column: nearest neighbours and their distance in Å.
Space group P4/mmm (No. 123)
Unique sites:
Er1 0.0000 0.0000 0.2356 (multiplicity 2)  4 Pt 3.00, 4 Ag 3.12, 1 Er 3.34
Ag1 0.5000 0.5000 0.5000 (multiplicity 1)  8 Er 3.12
Pt1 0.5000 0.5000 0.0000 (multiplicity 1)  8 Er 3.00

***

No. 3
Below is crystalline PrAl3PtAu at its relaxed geometry, with properties calculated at the GGA-PBE level.

Values from the calculation:
DOS(E_F): 0.48 states/eV per atom
Calculated formation energy: -0.529 eV per atom
Size of the total moment: 0.00 μB/f.u.

Cell: 6.6961 13.0805 6.1121 Å, 90.00 90.00 90.00°
Last column: nearest neighbours and their distance in Å.
Space group Cmcm (No. 63)
Unique sites:
Pr1 0.0000 0.2191 0.2500 (multiplicity 4)  2 Al 3.07, 1 Pt 3.16
Al1 0.0000 0.2009 0.7500 (multiplicity 4)  1 Pt 2.33, 1 Au 2.38
Al2 0.2075 0.5000 0.0000 (multiplicity 8)  2 Pt 2.50, 2 Au 2.57, 1 Al 2.78
Pt1 0.0000 0.0225 0.7500 (multiplicity 4)  5 Al 2.33-2.50
Au1 0.0000 0.3826 0.7500 (multiplicity 4)  5 Al 2.38-2.57

***

No. 4
Below is crystalline HfTaTi2Cd at its relaxed geometry, with properties calculated at the GGA-PBE level.

Values from the calculation:
DOS(E_F): 1.60 states/eV per atom
Calculated formation energy: 1.472 eV per atom
Size of the total moment: 2.31 μB/f.u.

Cell: 4.8469 4.8469 5.0952 Å, 90.00 90.00 90.00°
Last column: nearest neighbours and their distance in Å.
Space group P4/mmm (No. 123)
Unique sites:
Hf1 0.0000 0.0000 0.0000 (multiplicity 1)  4 Ta 3.43, 8 Ti 3.52
Ta1 0.5000 0.5000 0.0000 (multiplicity 1)  2 Cd 2.55
Ti1 0.0000 0.5000 0.5000 (multiplicity 2)  2 Cd 2.42
Cd1 0.5000 0.5000 0.5000 (multiplicity 1)  4 Ti 2.42, 2 Ta 2.55

***

No. 5
Below is crystalline Y4Cd5Hg at its relaxed geometry, with properties calculated at the GGA-PBE level.

Values from the calculation:
DOS(E_F): 0.67 states/eV per atom
Calculated formation energy: -0.349 eV per atom
Size of the total moment: 0.00 μB/f.u.

Cell: 15.6755 5.1420 6.5274 Å, 90.00 105.91 90.00°
Last column: nearest neighbours and their distance in Å.
Space group C2/m (No. 12)
Unique sites:
Y1 0.0957 0.0000 0.3859 (multiplicity 4)  6 Cd 3.11-3.42, 2 Hg 3.17
Y2 0.1902 0.5000 0.8089 (multiplicity 4)  7 Cd 3.09-3.32, 1 Hg 3.11
Cd1 0.0000 0.5000 0.0000 (multiplicity 2)  6 Cd 3.15-3.27, 2 Hg 3.26
Cd2 0.1004 0.0000 0.9131 (multiplicity 4)  6 Y 3.09-3.42, 2 Cd 3.15
Cd3 0.2032 0.5000 0.3099 (multiplicity 4)  7 Y 3.19-3.32, 1 Cd 3.27
Hg1 0.0000 0.5000 0.5000 (multiplicity 2)  6 Y 3.11-3.17, 2 Cd 3.26

***

No. 6
Below is crystalline Tl2CdAgCl8 at its relaxed geometry, with properties calculated at the GGA-PBE level.

Values from the calculation:
Energy: -2.582 eV per atom
DOS(E_F): 0.34 states/eV per atom
Size of the total moment: 0.00 μB/f.u.

Cell: 8.8120 8.8120 9.4510 Å, 90.00 90.00 90.00°
Last column: nearest neighbours and their distance in Å.
Space group I-4m2 (No. 119)
Unique sites:
Tl1 0.0000 0.0000 0.0000 (multiplicity 2)  4 Cl 2.70
Tl2 0.0000 0.5000 0.2500 (multiplicity 2)  4 Cl 2.52
Cd1 0.0000 0.5000 0.7500 (multiplicity 2)  4 Cl 2.55
Ag1 0.0000 0.0000 0.5000 (multiplicity 2)  4 Cl 2.66
Cl1 0.0000 0.2148 0.7969 (multiplicity 8)  1 Cd 2.55, 1 Tl 2.70
Cl2 0.0000 0.2941 0.4347 (multiplicity 8)  1 Tl 2.52, 1 Ag 2.66

***

No. 7
Below is crystalline ThBe2SiOs at its relaxed geometry, with properties calculated at the GGA-PBE level.

Values from the calculation:
Energy: -6.621 eV per atom
DOS(E_F): 0.67 states/eV per atom
Size of the total moment: 0.00 μB/f.u.

Cell: 3.8934 3.9327 10.3358 Å, 90.00 90.00 90.00°
Last column: nearest neighbours and their distance in Å.
Space group Imm2 (No. 44)
Unique sites:
Th1 0.0000 0.0000 0.0000 (multiplicity 2)  8 Be 3.05-3.28, 4 Si 3.07, 4 Os 3.13-3.35
Be1 0.0000 0.0000 0.6238 (multiplicity 2)  2 Os 2.29, 2 Be 2.31
Be2 0.0000 0.5000 0.2444 (multiplicity 2)  2 Be 2.31, 2 Si 2.37
Si1 0.0000 0.0000 0.3717 (multiplicity 2)  3 Be 2.37-2.61, 2 Os 2.39
Os1 0.0000 0.5000 0.7371 (multiplicity 2)  2 Be 2.29, 2 Si 2.39

***

No. 8
Below is crystalline Tb8DySb6 at its relaxed geometry, with properties calculated at the GGA-PBE level.

Values from the calculation:
Energy: -5.195 eV per atom
DOS(E_F): 0.84 states/eV per atom
Size of the total moment: 0.00 μB/f.u.

Cell: 7.9862 7.9862 25.2072 Å, 90.00 90.00 120.00°
Last column: nearest neighbours and their distance in Å.
Space group R-3 (No. 148, hexagonal axes)
Unique sites:
Tb1 0.0000 0.0000 0.1667 (multiplicity 6)  6 Sb 3.15
Tb2 0.9997 0.3340 0.6218 (multiplicity 18)  3 Sb 3.00
Dy1 0.0000 0.0000 0.5000 (multiplicity 3)  6 Sb 3.14
Sb1 0.9998 0.3323 0.4331 (multiplicity 18)  5 Tb 3.00-3.15, 1 Dy 3.14

***

No. 9
Below is crystalline Ag2BiN2 at its relaxed geometry, with properties calculated at the GGA-PBE level.

Values from the calculation:
Distance to the lowest polymorph of the same formula: 0.000 eV per atom
DOS(E_F): 0.38 states/eV per atom
Size of the total moment: 0.00 μB/f.u.

Cell: 4.2878 4.2878 8.7149 Å, 90.00 90.00 90.00°
Last column: nearest neighbours and their distance in Å.
Space group I4/mmm (No. 139)
Unique sites:
Ag1 0.0000 0.0000 0.1643 (multiplicity 4)  4 N 2.27
Bi1 0.0000 0.0000 0.5000 (multiplicity 2)  2 Ag 2.93, 8 N 3.06
N1 0.0000 0.5000 0.2500 (multiplicity 4)  4 Ag 2.27

***

No. 10
Below is crystalline NaPu3Cl6 at its relaxed geometry, with properties calculated at the GGA-PBE level.

Values from the calculation:
Energy: -7.106 eV per atom
DOS(E_F): 3.37 states/eV per atom
Size of the total moment: 18.99 μB/f.u.

Cell: 10.9770 10.9770 16.0148 Å, 90.00 90.00 120.00°
Last column: nearest neighbours and their distance in Å.
Space group R-3 (No. 148, hexagonal axes)
Unique sites:
Na1 0.0000 0.0000 0.0000 (multiplicity 3)  6 Cl 2.70
Na2 0.0000 0.0000 0.5000 (multiplicity 3)  6 Cl 2.84
Pu1 0.0416 0.2092 0.2307 (multiplicity 18)  5 Cl 2.84-2.92
Cl1 0.0158 0.2270 0.4060 (multiplicity 18)  2 Pu 2.84-2.85, 1 Na 2.84
Cl2 0.0376 0.2073 0.8939 (multiplicity 18)  1 Na 2.70, 3 Pu 2.85-2.92

***

No. 11
Below is crystalline TiH2I8 at its relaxed geometry, with properties calculated at the GGA-PBE level.

Values from the calculation:
Energy: -2.639 eV per atom
Size of the total moment: 0.00 μB/f.u.

Cell: 10.9683 11.9633 7.0849 Å, 90.00 106.36 90.00°
Last column: nearest neighbours and their distance in Å.
Space group C2/m (No. 12)
Unique sites:
Ti1 0.0000 0.0000 0.0000 (multiplicity 2)  6 I 2.72-2.85
H1 0.2095 0.5000 0.6717 (multiplicity 4)  1 I 1.69
I1 0.0695 0.5000 0.7272 (multiplicity 4)  1 H 1.69
I2 0.1030 0.1596 0.2710 (multiplicity 8)  1 Ti 2.72, 1 H 2.75
I3 0.2200 0.0000 0.8604 (multiplicity 4)  1 Ti 2.85, 1 I 3.17, 1 H 3.19

***

No. 12
Below is crystalline KNa4In2 at its relaxed geometry, with properties calculated at the GGA-PBE level.

Values from the calculation:
DOS(E_F): 0.37 states/eV per atom
Calculated formation energy: -0.053 eV per atom
Size of the total moment: 0.00 μB/f.u.

Cell: 10.5038 8.3451 6.5302 Å, 90.00 126.90 90.00°
Last column: nearest neighbours and their distance in Å.
Space group C2/m (No. 12)
Unique sites:
K1 0.0000 0.0000 0.0000 (multiplicity 2)  4 Na 3.53
Na1 0.2021 0.2025 0.7018 (multiplicity 8)  4 Na 3.38-3.48, 4 In 3.39-3.45, 1 K 3.53
In1 0.0023 0.5000 0.7529 (multiplicity 4)  2 In 3.26-3.27, 8 Na 3.39-3.45